Here is a crystal of MgCrGe2O6 relaxed with PBEsol from Alexandria. Energies are from SCAN.

**E**: -11.96 eV/atom
**ρ**: 4.8 g/cm³
**Volume**: 221.0 Å³ per cell
**Total magnetic moment**: 3.64 μB/f.u.
**Uncorrected formation energy**: -2069 meV per atom

Cell lengths 5.233, 6.561, 6.561 Å; angles 85.08, 82.66, 82.66 degrees
Element x y z (fractional)
Mg 0.750 0.271 0.729
Mg 0.250 0.729 0.271
Cr 0.250 0.092 0.908
Cr 0.750 0.908 0.092
Ge 0.796 0.398 0.206
Ge 0.704 0.794 0.602
Ge 0.204 0.602 0.794
Ge 0.296 0.206 0.398
O 0.607 0.290 0.436
O 0.893 0.564 0.710
O 0.393 0.710 0.564
O 0.107 0.436 0.290
O 0.120 0.135 0.635
O 0.380 0.365 0.865
O 0.880 0.865 0.365
O 0.620 0.635 0.135
O 0.875 0.199 0.026
O 0.625 0.974 0.801
O 0.125 0.801 0.974
O 0.375 0.026 0.199


Here is a crystal of Mg3Cr2Ge3O12 relaxed with PBEsol from Alexandria. Energies are from SCAN.

**E**: -11.55 eV/atom
**ρ**: 4.7 g/cm³
**Volume**: 836.6 Å³ per cell
**Total magnetic moment**: 6.00 μB/f.u.
**Uncorrected formation energy**: -2361 meV per atom

Cell lengths 10.281, 10.281, 10.281 Å; angles 109.47, 109.47, 109.47 degrees
Element x y z (fractional)
Mg 0.750 0.375 0.625
Mg 0.250 0.125 0.875
Mg 0.375 0.125 0.250
Mg 0.125 0.375 0.750
Mg 0.375 0.250 0.625
Mg 0.125 0.750 0.875
Mg 0.250 0.625 0.375
Mg 0.750 0.875 0.125
Mg 0.625 0.875 0.750
Mg 0.875 0.625 0.250
Mg 0.625 0.750 0.375
Mg 0.875 0.250 0.125
Cr 0.500 0.000 0.000
Cr 0.500 0.000 0.500
Cr 0.000 0.500 0.500
Cr 0.500 0.500 0.000
Cr 0.000 0.500 0.000
Cr 0.000 0.000 0.500
Cr 0.500 0.500 0.500
Cr 0.000 0.000 0.000
Ge 0.875 0.750 0.625
Ge 0.125 0.250 0.375
Ge 0.375 0.625 0.750
Ge 0.250 0.375 0.125
Ge 0.125 0.875 0.250
Ge 0.750 0.125 0.375
Ge 0.250 0.875 0.625
Ge 0.750 0.625 0.875
Ge 0.875 0.125 0.750
Ge 0.625 0.375 0.250
Ge 0.375 0.750 0.125
Ge 0.625 0.250 0.875
O 0.584 0.374 0.403
O 0.126 0.209 0.529
O 0.903 0.584 0.874
O 0.471 0.180 0.097
O 0.320 0.029 0.403
O 0.374 0.903 0.084
O 0.374 0.471 0.791
O 0.291 0.916 0.820
O 0.180 0.584 0.709
O 0.029 0.903 0.820
O 0.209 0.180 0.084
O 0.291 0.374 0.971
O 0.584 0.209 0.680
O 0.597 0.126 0.416
O 0.916 0.597 0.626
O 0.903 0.320 0.529
O 0.471 0.291 0.874
O 0.916 0.320 0.791
O 0.029 0.126 0.709
O 0.820 0.416 0.291
O 0.320 0.291 0.416
O 0.209 0.029 0.626
O 0.597 0.471 0.680
O 0.126 0.916 0.097
O 0.416 0.626 0.597
O 0.874 0.791 0.471
O 0.097 0.416 0.126
O 0.529 0.820 0.903
O 0.680 0.971 0.597
O 0.626 0.097 0.916
O 0.626 0.529 0.209
O 0.709 0.084 0.180
O 0.874 0.084 0.903
O 0.403 0.529 0.320
O 0.791 0.971 0.374
O 0.820 0.403 0.029
O 0.680 0.709 0.584
O 0.971 0.874 0.291
O 0.084 0.680 0.209
O 0.529 0.709 0.126
O 0.097 0.680 0.471
O 0.084 0.403 0.374
O 0.403 0.874 0.584
O 0.416 0.791 0.320
O 0.709 0.626 0.029
O 0.791 0.820 0.916
O 0.971 0.097 0.180
O 0.180 0.597 0.971


Here is a crystal of Cr3GeMo relaxed with PBEsol from Alexandria. Energies are from SCAN.

**E**: -20.64 eV/atom
**DFT formation energy**: 1183 meV/atom
**ρ**: 6.8 g/cm³
**Volume**: 79.6 Å³ per cell
**Total magnetic moment**: 5.71 μB/f.u.

Cell lengths 4.302, 4.302, 4.302 Å; angles 90.00, 90.00, 90.00 degrees
Element x y z (fractional)
Cr 0.000 0.500 0.000
Cr 0.000 0.000 0.500
Cr 0.500 0.000 0.000
Mo 0.500 0.500 0.500
Ge 0.000 0.000 0.000


Here is a crystal of CrGeNO2 relaxed with PBEsol from Alexandria. Energies are from SCAN.

**E**: -12.36 eV/atom
**ρ**: 5.6 g/cm³
**Volume**: 50.6 Å³ per cell
**Total magnetic moment**: 3.00 μB/f.u.
**Uncorrected formation energy**: -515 meV per atom

Cell lengths 3.644, 3.644, 3.812 Å; angles 90.00, 90.00, 90.00 degrees
Element x y z (fractional)
Cr 0.500 0.500 0.500
Ge 0.000 0.000 0.000
O 0.000 0.500 0.000
O 0.500 0.000 0.000
N 0.000 0.000 0.500


Here is a crystal of CrGeS2N relaxed with PBEsol from Alexandria. Energies are from SCAN.

**E**: -12.66 eV/atom
**ρ**: 4.2 g/cm³
**Volume**: 80.2 Å³ per cell
**Total magnetic moment**: 2.91 μB/f.u.
**Uncorrected formation energy**: 541 meV per atom

Cell lengths 3.541, 4.760, 4.760 Å; angles 90.00, 90.00, 90.00 degrees
Element x y z (fractional)
Cr 0.500 0.500 0.500
Ge 0.000 0.000 0.000
S 0.000 0.000 0.500
S 0.000 0.500 0.000
N 0.500 0.000 0.000


Here is a crystal of CrGeWN2 relaxed with PBEsol from Alexandria. Energies are from SCAN.

**E**: -23.18 eV/atom
**ρ**: 8.1 g/cm³
**Volume**: 69.4 Å³ per cell
**Total magnetic moment**: 0.97 μB/f.u.
**Uncorrected formation energy**: 1964 meV per atom

Cell lengths 3.721, 3.721, 5.012 Å; angles 90.00, 90.00, 90.00 degrees
Element x y z (fractional)
Cr 0.500 0.500 0.500
Ge 0.000 0.000 0.000
W 0.000 0.000 0.500
N 0.000 0.500 0.000
N 0.500 0.000 0.000


Here is a crystal of NaCrGe2 relaxed with PBEsol from Alexandria. Energies are from SCAN.

**E**: -15.10 eV/atom
**DFT formation energy**: 94 meV/atom
**ρ**: 5.5 g/cm³
**Volume**: 66.5 Å³ per cell
**Total magnetic moment**: 3.76 μB/f.u.

Cell lengths 4.548, 4.548, 4.548 Å; angles 60.00, 60.00, 60.00 degrees
Element x y z (fractional)
Cr 0.500 0.500 0.500
Ge 0.250 0.250 0.250
Ge 0.750 0.750 0.750
Na 0.000 0.000 0.000


Here is a crystal of NdCrGe3 relaxed with PBEsol from Alexandria. Energies are from SCAN.

**E**: -24.34 eV/atom
**DFT formation energy**: -498 meV/atom
**ρ**: 7.7 g/cm³
**Volume**: 179.4 Å³ per cell
**Total magnetic moment**: 1.59 μB/f.u.

Cell lengths 5.626, 6.068, 6.068 Å; angles 120.00, 90.00, 90.00 degrees
Element x y z (fractional)
Nd 0.750 0.333 0.667
Nd 0.250 0.667 0.333
Cr 0.000 0.000 0.000
Cr 0.500 0.000 0.000
Ge 0.250 0.192 0.808
Ge 0.250 0.616 0.808
Ge 0.250 0.192 0.384
Ge 0.750 0.808 0.192
Ge 0.750 0.384 0.192
Ge 0.750 0.808 0.616


Here is a crystal of CrNiGe3 relaxed with PBEsol from Alexandria. Energies are from SCAN.

**E**: -17.60 eV/atom
**DFT formation energy**: 761 meV/atom
**ρ**: 6.0 g/cm³
**Volume**: 91.3 Å³ per cell
**Total magnetic moment**: 0.44 μB/f.u.

Cell lengths 4.502, 4.502, 4.502 Å; angles 90.00, 90.00, 90.00 degrees
Element x y z (fractional)
Ni 0.500 0.500 0.500
Ge 0.000 0.500 0.000
Ge 0.000 0.000 0.500
Ge 0.500 0.000 0.000
Cr 0.000 0.000 0.000


Here is a crystal of CrGePdO2 relaxed with PBEsol from Alexandria. Energies are from SCAN.

**E**: -17.42 eV/atom
**ρ**: 6.5 g/cm³
**Volume**: 66.8 Å³ per cell
**Total magnetic moment**: 0.01 μB/f.u.
**Uncorrected formation energy**: -881 meV per atom

Cell lengths 3.541, 3.541, 5.329 Å; angles 90.00, 90.00, 90.00 degrees
Element x y z (fractional)
Cr 0.000 0.000 0.000
Ge 0.500 0.500 0.500
O 0.000 0.500 0.000
O 0.500 0.000 0.000
Pd 0.000 0.000 0.500


Here is a crystal of Cr2ReGeO relaxed with PBEsol from Alexandria. Energies are from SCAN.

**E**: -25.56 eV/atom
**ρ**: 8.2 g/cm³
**Volume**: 76.8 Å³ per cell
**Total magnetic moment**: 4.61 μB/f.u.
**Uncorrected formation energy**: 1080 meV per atom

Cell lengths 3.532, 4.662, 4.662 Å; angles 90.00, 90.00, 90.00 degrees
Element x y z (fractional)
Re 0.500 0.500 0.500
Ge 0.000 0.000 0.000
O 0.500 0.000 0.000
Cr 0.000 0.000 0.500
Cr 0.000 0.500 0.000


Here is a crystal of CrGeSbO6 relaxed with PBEsol from Alexandria. Energies are from SCAN.

**E**: -14.40 eV/atom
**ρ**: 6.1 g/cm³
**Volume**: 185.6 Å³ per cell
**Total magnetic moment**: 3.00 μB/f.u.
**Uncorrected formation energy**: -1947 meV per atom

Cell lengths 4.534, 4.534, 9.025 Å; angles 90.00, 90.00, 90.00 degrees
Element x y z (fractional)
Cr 0.500 0.500 0.833
Cr 0.000 0.000 0.333
Ge 0.500 0.500 0.500
Ge 0.000 0.000 0.000
Sb 0.500 0.500 0.167
Sb 0.000 0.000 0.667
O 0.193 0.807 0.840
O 0.807 0.193 0.840
O 0.693 0.693 0.340
O 0.307 0.307 0.340
O 0.200 0.800 0.498
O 0.800 0.200 0.498
O 0.700 0.700 0.998
O 0.300 0.300 0.998
O 0.188 0.812 0.162
O 0.812 0.188 0.162
O 0.688 0.688 0.662
O 0.312 0.312 0.662